Density functional theory data (PBE) for crystalline TmCO at its relaxed geometry.

```
12
Lattice="6.1684 0.0000 0.0000 0.0000 2.8600 0.0000 0.0000 0.0000 7.4693" Properties=species:S:1:pos:R:3 pbc="T T T"
Tm 1.1579 0.7150 1.2446
Tm 1.9263 2.1450 4.9792
Tm 4.2421 0.7150 2.4901
Tm 5.0106 2.1450 6.2247
C 0.2577 0.7150 3.7432
C 2.8265 2.1450 0.0086
C 3.3419 0.7150 7.4608
C 5.9107 2.1450 3.7261
O 0.5648 0.7150 6.3259
O 2.5195 2.1450 2.5912
O 3.6490 0.7150 4.8781
O 5.6037 2.1450 1.1434
```

## Properties
Its density of states at the Fermi level is 4.5 states/eV/cell. The uncorrected formation energy is -1534 meV per atom.

Density functional theory data (PBE) for crystalline Tm8C3O at its relaxed geometry.

```
12
Lattice="6.0748 -3.5062 0.0000 6.0748 3.5062 0.0000 -4.0676 0.0000 5.8500" Properties=species:S:1:pos:R:3 pbc="T T T"
Tm 3.0162 1.7736 4.2613
Tm -0.0096 0.0000 4.2851
Tm 1.9947 0.0000 1.5889
Tm 5.0658 1.7736 1.5887
Tm 3.0162 -1.7736 4.2613
Tm 6.0873 0.0000 4.2611
Tm 8.0916 0.0000 1.5649
Tm 5.0658 -1.7736 1.5887
C -2.0338 0.0000 2.9250
C 1.0036 1.7531 2.9250
C 1.0036 -1.7531 2.9250
O 4.0410 0.0000 2.9250
```

## Properties
Its density of states at the Fermi level is 9.2 states/eV/cell. The uncorrected formation energy is -759 meV per atom.

Density functional theory data (PBE) for crystalline YTmCO at its relaxed geometry.

```
4
Lattice="1.7500 1.0104 5.6766 -1.7500 1.0104 5.6766 0.0000 -2.0208 5.6766" Properties=species:S:1:pos:R:3 pbc="T T T"
Y 0.0000 0.0000 0.0000
Tm 0.0000 0.0000 8.6212
C 0.0000 0.0000 4.2926
O 0.0000 0.0000 12.8721
```

## Properties
Its density of states at the Fermi level is 0.9 states/eV/cell. The uncorrected formation energy is -1759 meV per atom.